[1]
DFT (PBE) results for an optimized crystal structure of LiMg2Pt.

abc: 6.4228 6.4228 6.4228
angles: 90.00 90.00 90.00
With the nearest neighbours (Å) after each atom.
Space group Fm-3m (No. 225)
One atom of each set of equivalent atoms:
Li  0.0000  0.0000  0.0000 (multiplicity 4)  8 Mg 2.78
Mg  0.2500  0.2500  0.2500 (multiplicity 8)  4 Li 2.78, 4 Pt 2.78
Pt  0.0000  0.0000  0.5000 (multiplicity 4)  8 Mg 2.78

Calculated formation energy = -638 meV per atom
Fermi-level density of states = 0.39 states/eV per atom

=====

[2]
DFT (PBE) results for an optimized crystal structure of YMnP2S.

abc: 5.2709 5.2709 5.1228
angles: 90.00 90.00 90.00
With the nearest neighbours (Å) after each atom.
Space group P4/mmm (No. 123)
One atom of each set of equivalent atoms:
Y  0.0000  0.0000  0.0000 (multiplicity 1)  2 S 2.56, 4 P 2.64
Mn  0.5000  0.5000  0.5000 (multiplicity 1)  8 P 3.68, 4 S 3.73
P  0.0000  0.5000  0.0000 (multiplicity 2)  2 Y 2.64
S  0.0000  0.0000  0.5000 (multiplicity 1)  2 Y 2.56

E_form (uncorrected) = 565 meV/atom
Fermi-level density of states = 0.92 states/eV per atom

=====

[3]
DFT (PBE) results for an optimized crystal structure of Rb3TbTl2O6.

abc: 6.1115 10.5880 6.8591
angles: 90.00 107.24 90.00
With the nearest neighbours (Å) after each atom.
Space group C2/m (No. 12)
One atom of each set of equivalent atoms:
Rb  0.0000  0.0000  0.0000 (multiplicity 2)  6 O 2.89-2.91
Rb  0.0000  0.3302  0.0000 (multiplicity 4)  6 O 2.89-2.91
Tb  0.0000  0.5000  0.5000 (multiplicity 2)  6 O 2.35
Tl  0.0000  0.1663  0.5000 (multiplicity 4)  6 O 2.38-2.39
O  0.2261  0.3355  0.6849 (multiplicity 8)  1 Tb 2.35, 2 Tl 2.38-2.39
O  0.2329  0.0000  0.6856 (multiplicity 4)  1 Tb 2.35, 2 Tl 2.38

E_form (uncorrected) = -1519 meV/atom

=====

[4]
DFT (PBE) results for an optimized crystal structure of Y4TlInO.

abc: 6.5809 16.4779 6.5816
angles: 90.00 90.00 90.00
With the nearest neighbours (Å) after each atom.
Space group Cmcm (No. 63)
One atom of each set of equivalent atoms:
Y  0.0000  0.0793  0.2500 (multiplicity 4)  1 O 2.82, 1 Tl 3.13
Y  0.0000  0.4197  0.2500 (multiplicity 4)  1 O 2.79
Y  0.2500  0.2500  0.0000 (multiplicity 8)  2 O 2.33
Tl  0.0000  0.1109  0.7500 (multiplicity 4)  9 Y 3.13-3.33
In  0.0000  0.3885  0.7500 (multiplicity 4)  9 Y 3.16-3.33
O  0.0000  0.2503  0.2500 (multiplicity 4)  4 Y 2.33

E_form (uncorrected) = -1103 meV/atom
Fermi-level density of states = 0.29 states/eV per atom

=====

[5]
DFT (PBE) results for an optimized crystal structure of SiSb.

abc: 3.5390 4.0397 16.3415
angles: 90.00 90.00 90.00
With the nearest neighbours (Å) after each atom.
Space group Imma (No. 74)
One atom of each set of equivalent atoms:
Si  0.0000  0.2500  0.2051 (multiplicity 4)  2 Si 2.30
Sb  0.0000  0.2500  0.8962 (multiplicity 4)  2 Si 2.61

E_form (uncorrected) = 187 meV/atom
Fermi-level density of states = 0.28 states/eV per atom

=====

[6]
DFT (PBE) results for an optimized crystal structure of CaLa4Er.

abc: 3.7597 3.7597 15.6022
angles: 90.00 90.00 90.00
With the nearest neighbours (Å) after each atom.
Space group P4/mmm (No. 123)
One atom of each set of equivalent atoms:
Ca  0.0000  0.0000  0.0000 (multiplicity 1)  4 Ca 3.76, 8 La 3.91
La  0.0000  0.0000  0.3429 (multiplicity 2)  4 Er 3.62, 8 La 3.63-3.76
La  0.5000  0.5000  0.1842 (multiplicity 2)  8 La 3.63-3.76, 4 Ca 3.91
Er  0.5000  0.5000  0.5000 (multiplicity 1)  8 La 3.62, 4 Er 3.76

Calculated formation energy = 31 meV per atom
Fermi-level density of states = 1.59 states/eV per atom

=====

[7]
DFT (PBE) results for an optimized crystal structure of LaSm3Sb2.

abc: 18.7740 4.4707 9.9680
angles: 90.00 115.10 90.00
With the nearest neighbours (Å) after each atom.
Space group C2/m (No. 12)
One atom of each set of equivalent atoms:
La  0.1118  0.0000  0.1237 (multiplicity 4)  6 Sb 3.32-3.44
Sm  0.0566  0.0000  0.6756 (multiplicity 4)  3 Sb 3.13-3.38, 3 Sm 3.23-3.34
Sm  0.1457  0.5000  0.4735 (multiplicity 4)  4 Sb 3.23-3.32
Sm  0.1886  0.5000  0.8884 (multiplicity 4)  3 Sb 3.18-3.26, 4 Sm 3.30-3.34
Sb  0.0108  0.5000  0.8445 (multiplicity 4)  4 Sm 3.13-3.28, 1 Sb 3.29, 4 La 3.32-3.44
Sb  0.2447  0.0000  0.7148 (multiplicity 4)  7 Sm 3.23-3.61, 2 La 3.34

E_form (uncorrected) = -747 meV/atom
Fermi-level density of states = 1.24 states/eV per atom

=====

[8]
DFT (PBE) results for an optimized crystal structure of TlZnCdAg.

abc: 3.1960 4.0491 6.6437
angles: 90.00 90.00 90.00
With the nearest neighbours (Å) after each atom.
Space group Pmm2 (No. 25)
One atom of each set of equivalent atoms:
Tl  0.0000  0.0000  0.0000 (multiplicity 1)  4 Zn 3.15, 4 Ag 3.19, 2 Tl 3.20, 2 Cd 3.30-3.34
Zn  0.5000  0.5000  0.7267 (multiplicity 1)  1 Ag 2.96, 4 Cd 2.98, 4 Tl 3.15, 2 Zn 3.20
Cd  0.0000  0.0000  0.5027 (multiplicity 1)  4 Ag 2.97, 4 Zn 2.98, 2 Cd 3.20, 1 Tl 3.30
Ag  0.5000  0.5000  0.2819 (multiplicity 1)  1 Zn 2.96, 4 Cd 2.97, 4 Tl 3.19, 2 Ag 3.20

Calculated formation energy = 110 meV per atom
Fermi-level density of states = 0.21 states/eV per atom

=====

[9]
DFT (PBE) results for an optimized crystal structure of KRbCd2.

abc: 8.6341 3.7936 11.4572
angles: 90.00 108.56 90.00
With the nearest neighbours (Å) after each atom.
Space group Cm (No. 8)
One atom of each set of equivalent atoms:
K  0.0000  0.0000  0.0000 (multiplicity 2)  6 Cd 3.62-3.72, 2 K 3.79
Rb  0.2147  0.0000  0.5005 (multiplicity 2)  6 Cd 3.73-3.86, 2 Rb 3.79
Cd  0.1092  0.5000  0.7584 (multiplicity 2)  3 K 3.62-3.72, 3 Rb 3.73-3.86, 2 Cd 3.79
Cd  0.3919  0.0000  0.2422 (multiplicity 2)  3 K 3.63-3.72, 3 Rb 3.74-3.86, 2 Cd 3.79

Calculated formation energy = 100 meV per atom
Fermi-level density of states = 0.73 states/eV per atom

=====

[10]
DFT (PBE) results for an optimized crystal structure of RbHg2Pb6.

abc: 5.0221 5.0221 11.8870
angles: 90.00 90.00 90.00
With the nearest neighbours (Å) after each atom.
Space group P4/mmm (No. 123)
One atom of each set of equivalent atoms:
Rb  0.0000  0.0000  0.0000 (multiplicity 1)  8 Hg 3.84, 8 Pb 4.29
Hg  0.5000  0.5000  0.1221 (multiplicity 2)  1 Hg 2.90, 4 Pb 3.23
Pb  0.0000  0.0000  0.5000 (multiplicity 1)  12 Pb 3.52-3.55
Pb  0.0000  0.5000  0.2924 (multiplicity 4)  2 Hg 3.23, 8 Pb 3.52-3.55
Pb  0.5000  0.5000  0.5000 (multiplicity 1)  12 Pb 3.52-3.55

Calculated formation energy = -69 meV per atom
Fermi-level density of states = 0.43 states/eV per atom

=====

[11]
DFT (PBE) results for an optimized crystal structure of AsH2.

abc: 4.4412 4.4439 5.5458
angles: 76.83 77.16 64.95
With the nearest neighbours (Å) after each atom.
Space group P-1 (No. 2)
One atom of each set of equivalent atoms:
As  0.1479  0.1505  0.3368 (multiplicity 2)  2 H 1.54
H  0.1540  0.6874  0.8107 (multiplicity 2)  1 As 1.54
H  0.3081  0.8513  0.1886 (multiplicity 2)  1 As 1.54

Total DFT energy (no corrections) = -0.136 hartree per atom
Fermi-level density of states = 0.00 states/eV per atom

=====

[12]
DFT (PBE) results for an optimized crystal structure of SrB2Pt.

abc: 6.1259 6.1259 6.1259
angles: 90.00 90.00 90.00
With the nearest neighbours (Å) after each atom.
Space group Fm-3m (No. 225)
One atom of each set of equivalent atoms:
Sr  0.0000  0.0000  0.0000 (multiplicity 4)  8 B 2.65
B  0.2500  0.2500  0.2500 (multiplicity 8)  4 Sr 2.65, 4 Pt 2.65
Pt  0.0000  0.0000  0.5000 (multiplicity 4)  8 B 2.65

Calculated formation energy = 757 meV per atom
Fermi-level density of states = 0.27 states/eV per atom